The following is a GGA-PBE calculation of a relaxed KTb3Ce2Te6 crystal, from the Alexandria database.

a b c (Å): 19.660 4.414 9.132
angles (deg): 90.00 104.35 90.00
Space group C2/m (No. 12)
Symmetry-distinct sites (fractional):
K 0.000 0.000 0.000 x2
Tb 0.000 0.000 0.500 x2
Tb 0.164 0.500 0.825 x4
Ce 0.170 0.500 0.341 x4
Te 0.000 0.500 0.266 x4
Te 0.163 0.000 0.589 x4
Te 0.173 0.000 0.079 x4

Calculated values
crystal system: monoclinic
spin magnetization: 5.099 μB/cell
formation energy (no corrections): -1337 meV per atom